Run 1
BeWCl3 | PBE | relaxed

```
BeWCl3
1.0
4.8743 0.0000 0.0000
0.0000 4.8743 0.0000
0.0000 0.0000 4.8743
Be W Cl
1 1 3
Cartesian
2.4371 2.4371 2.4371
0.0000 0.0000 0.0000
0.0000 2.4371 0.0000
0.0000 0.0000 2.4371
2.4371 0.0000 0.0000
```

Calculated values
Magnetic moment (μB/cell): 1.96

=====

Run 2
BeWCl3 | PBE | relaxed

```
BeWCl3
1.0
4.5463 0.0000 0.0000
0.0000 4.5463 0.0000
0.0000 0.0000 4.5463
Be W Cl
1 1 3
Cartesian
0.0000 0.0000 0.0000
2.2731 2.2731 2.2731
0.0000 2.2731 0.0000
0.0000 0.0000 2.2731
2.2731 0.0000 0.0000
```

Calculated values
Magnetic moment (μB/cell): 4.91

=====

How far above the most stable structure does each one sit? In kJ/mol of atoms: run 1 0.0; run 2 4.4.

=====

Run 1
Be2W2Cl | PBE | relaxed

```
Be2W2Cl
1.0
-0.5235 6.7407 0.0558
-6.7222 -0.5179 -0.5077
-0.2334 -0.0441 3.1352
Be W Cl
4 4 2
Cartesian
-4.6521 0.7275 1.2405
-6.0961 4.0067 1.1791
-2.8271 5.4512 1.4428
-1.3830 2.1719 1.5042
-6.0812 2.0771 -0.4235
-4.6569 5.5774 -0.2682
-1.1645 4.1456 -0.0284
-2.5888 0.6454 -0.1836
0.0000 0.0000 0.0000
-3.6229 3.1114 -0.2259
```

Calculated values
Magnetic moment (μB/cell): 0.00

=====

Run 2
Be2W2Cl | PBE | relaxed

```
Be2W2Cl
1.0
-2.5943 0.4263 -1.0522
-0.9309 -2.3010 1.3631
-3.7223 3.8720 6.9358
Be W Cl
2 2 1
Cartesian
-4.0396 1.6805 3.0195
-3.2079 0.3169 4.2271
-2.2733 0.3160 1.9224
-4.9742 1.6814 5.3243
0.0000 0.0000 0.0000
```

Calculated values
Magnetic moment (μB/cell): 0.00

=====

How far above the most stable structure does each one sit? In kJ/mol of atoms: run 1 0.0; run 2 7.6.